{
  "formula": "V3IrF",
  "functional": "GGA+U",
  "state": "relaxed",
  "lattice": [[4.2653, 0.0000, 0.0000], [0.0000, 4.2653, 0.0000], [0.0000, 0.0000, 4.2653]],
  "species": ["F", "Ir", "V", "V", "V"],
  "frac_coords": [[0.0000, 0.0000, 0.0000], [0.5000, 0.5000, 0.5000], [0.5000, 0.0000, 0.0000], [0.0000, 0.5000, 0.0000], [0.0000, 0.0000, 0.5000]],
  "vol_a3_per_cell": 78,
  "polymorph_energy_ev_per_atom": 0.0000,
  "spacegroup": "Pm-3m"
}